A plane-wave DFT calculation with SCAN was carried out for a crystal of KLaSeN2 relaxed with PBEsol.

Structure (POSCAR):
```
KLaSeN2
1.0
4.809 0.000 0.000
0.000 4.809 0.000
0.000 0.000 5.880
N K Se La
2 1 1 1
direct
0.500 0.000 0.000
0.000 0.500 0.000
0.500 0.500 0.500
0.000 0.000 0.500
0.000 0.000 0.000
```

## Properties
Raw total energy, eV/atom: -18.0065
SG: P4/mmm